1.
The following is a DFT calculation (GGA-PBE) of an optimized crystal structure of La2PmPr4Au2.

- Size of the total moment: 0.00 μB/cell
- Energy of formation: -0.247 eV per atom
- SG: P-1

Cell lengths 6.3481, 6.8127, 7.7536 Å; angles 66.34, 83.29, 73.48 degrees
Fractional coordinates of all 9 atoms:
1 La 0.2229 0.0507 0.3324
2 La 0.7771 0.9493 0.6676
3 Pm 0.0000 0.5000 0.5000
4 Pr 0.2630 0.0055 0.8616
5 Pr 0.4353 0.5054 0.7558
6 Pr 0.5647 0.4946 0.2442
7 Pr 0.7370 0.9945 0.1384
8 Au 0.0916 0.6004 0.0898
9 Au 0.9084 0.3996 0.9102

2.
The following is a DFT calculation (GGA-PBE) of an optimized crystal structure of Tm6TeAs2S3.

- Size of the total moment: 0.00 μB/cell
- SG: C2/m
- ΔE_f (raw): -1672 meV per atom

Cell lengths 8.9284, 8.9284, 8.0218 Å; angles 102.72, 102.72, 25.80 degrees
Fractional coordinates of all 12 atoms:
1 Tm 0.9999 0.9999 0.2192
2 Tm 0.0001 0.0001 0.7808
3 Tm 0.3222 0.3222 0.4111
4 Tm 0.3339 0.3339 0.9163
5 Tm 0.6661 0.6661 0.0837
6 Tm 0.6778 0.6778 0.5889
7 Te 0.5000 0.5000 0.5000
8 As 0.1666 0.1666 0.8317
9 As 0.8334 0.8334 0.1683
10 S 0.1628 0.1628 0.3323
11 S 0.5000 0.5000 0.0000
12 S 0.8372 0.8372 0.6677

3.
The following is a DFT calculation (GGA-PBE) of an optimized crystal structure of Ac3SnCl2O6.

- Size of the total moment: 1.01 μB/cell
- SG: C2/m
- ΔE_f (raw): -2213 meV per atom

Cell lengths 7.2086, 7.2086, 5.7840 Å; angles 96.03, 96.03, 60.97 degrees
Fractional coordinates of all 12 atoms:
1 Ac 0.0000 0.0000 0.0000
2 Ac 0.0000 0.5000 0.5000
3 Ac 0.5000 0.0000 0.5000
4 Sn 0.5000 0.5000 0.5000
5 Cl 0.2213 0.2213 0.8869
6 Cl 0.7787 0.7787 0.1131
7 O 0.2004 0.6918 0.6979
8 O 0.3082 0.7996 0.3021
9 O 0.3432 0.3432 0.3492
10 O 0.6568 0.6568 0.6508
11 O 0.6918 0.2004 0.6979
12 O 0.7996 0.3082 0.3021

4.
The following is a DFT calculation (GGA-PBE) of an optimized crystal structure of KLa2Ag.

- Size of the total moment: 0.00 μB/cell
- Energy of formation: 0.295 eV per atom
- SG: C2/m

Cell lengths 6.9314, 12.4912, 3.5203 Å; angles 90.00, 116.89, 90.00 degrees
Fractional coordinates of all 8 atoms:
1 K 0.0000 0.0000 0.0000
2 K 0.5000 0.5000 0.0000
3 La 0.2500 0.2500 0.5000
4 La 0.2500 0.7500 0.5000
5 La 0.7500 0.2500 0.5000
6 La 0.7500 0.7500 0.5000
7 Ag 0.0000 0.5000 0.0000
8 Ag 0.5000 0.0000 0.0000

5.
The following is a DFT calculation (GGA-PBE) of an optimized crystal structure of PuSiAs2.

- Size of the total moment: 4.47 μB/cell
- SG: P4/mmm
- ΔE_f (raw): -395 meV per atom

Cell lengths 4.3208, 4.3208, 4.0023 Å; angles 90.00, 90.00, 90.00 degrees
Fractional coordinates of all 4 atoms:
1 Pu 0.0000 0.0000 0.0000
2 Si 0.5000 0.5000 0.0000
3 As 0.0000 0.5000 0.5000
4 As 0.5000 0.0000 0.5000

6.
The following is a DFT calculation (GGA-PBE) of an optimized crystal structure of Pm2SiF.

- Size of the total moment: 0.00 μB/cell
- SG: P4/mmm
- ΔE_f (raw): -1263 meV per atom

Cell lengths 3.3241, 3.3241, 7.4743 Å; angles 90.00, 90.00, 90.00 degrees
Fractional coordinates of all 4 atoms:
1 Pm 0.0000 0.0000 0.2500
2 Pm 0.0000 0.0000 0.7500
3 Si 0.5000 0.5000 0.0000
4 F 0.5000 0.5000 0.5000

7.
The following is a DFT calculation (GGA-PBE) of an optimized crystal structure of BeTe2Se.

- Size of the total moment: 0.00 μB/cell
- SG: Imm2
- ΔE_f (raw): 92 meV per atom

Cell lengths 3.5560, 5.1133, 11.4789 Å; angles 90.00, 90.00, 90.00 degrees
Fractional coordinates of all 8 atoms:
1 Be 0.0000 0.0000 0.0000
2 Be 0.5000 0.5000 0.5000
3 Te 0.0000 0.0000 0.4315
4 Te 0.0000 0.5000 0.3043
5 Te 0.5000 0.0000 0.8043
6 Te 0.5000 0.5000 0.9315
7 Se 0.0000 0.5000 0.6117
8 Se 0.5000 0.0000 0.1117

8.
The following is a DFT calculation (GGA-PBE) of an optimized crystal structure of CePm12Sm7.

- Size of the total moment: 1.09 μB/cell
- Energy of formation: 0.295 eV per atom
- SG: R-3

Cell lengths 11.0873, 11.0873, 11.0873 Å; angles 115.84, 115.84, 115.84 degrees
Fractional coordinates of all 20 atoms:
1 Ce 0.0000 0.0000 0.0000
2 Pm 0.0831 0.5130 0.2976
3 Pm 0.2010 0.2695 0.7487
4 Pm 0.2513 0.7990 0.7305
5 Pm 0.2695 0.7487 0.2010
6 Pm 0.2976 0.0831 0.5130
7 Pm 0.4870 0.7024 0.9169
8 Pm 0.5130 0.2976 0.0831
9 Pm 0.7024 0.9169 0.4870
10 Pm 0.7305 0.2513 0.7990
11 Pm 0.7487 0.2010 0.2695
12 Pm 0.7990 0.7305 0.2513
13 Pm 0.9169 0.4870 0.7024
14 Sm 0.0684 0.2045 0.3679
15 Sm 0.2045 0.3679 0.0684
16 Sm 0.3679 0.0684 0.2045
17 Sm 0.5000 0.5000 0.5000
18 Sm 0.6321 0.9316 0.7955
19 Sm 0.7955 0.6321 0.9316
20 Sm 0.9316 0.7955 0.6321